No. 1
Material: BaLiSmCd
Method: DFT, GGA-PBE
State: optimized geometry

Cell: 8.0706 8.0706 8.0706 Å, 90.00 90.00 90.00°
With the nearest neighbours (Å) after each atom.
Sites, in units of the cell vectors:
Ba: 0.0000 0.0000 0.0000  4 Cd 3.49, 4 Li 3.49
Ba: 0.0000 0.5000 0.5000  4 Cd 3.49, 4 Li 3.49
Ba: 0.5000 0.0000 0.5000  4 Cd 3.49, 4 Li 3.49
Ba: 0.5000 0.5000 0.0000  4 Cd 3.49, 4 Li 3.49
Li: 0.2500 0.2500 0.7500  4 Ba 3.49, 4 Sm 3.49
Li: 0.2500 0.7500 0.2500  4 Ba 3.49, 4 Sm 3.49
Li: 0.7500 0.2500 0.2500  4 Ba 3.49, 4 Sm 3.49
Li: 0.7500 0.7500 0.7500  4 Sm 3.49, 4 Ba 3.49
Sm: 0.0000 0.0000 0.5000  4 Li 3.49, 4 Cd 3.49
Sm: 0.0000 0.5000 0.0000  4 Li 3.49, 4 Cd 3.49
Sm: 0.5000 0.0000 0.0000  4 Li 3.49, 4 Cd 3.49
Sm: 0.5000 0.5000 0.5000  4 Li 3.49, 4 Cd 3.49
Cd: 0.2500 0.2500 0.2500  4 Ba 3.49, 4 Sm 3.49
Cd: 0.2500 0.7500 0.7500  4 Ba 3.49, 4 Sm 3.49
Cd: 0.7500 0.2500 0.7500  4 Ba 3.49, 4 Sm 3.49
Cd: 0.7500 0.7500 0.2500  4 Ba 3.49, 4 Sm 3.49

- Raw total energy: -2.39 eV per atom
- Mass density: 5.143 g/cm³
- Formation energy: -8 kJ/mol of formula units
- SG: F-43m, No. 216

=====

No. 2
Material: BaLi4CdSn2
Method: DFT, GGA-PBE
State: optimized geometry

Cell: 9.9412 9.9412 9.9412 Å, 27.90 27.90 27.90°
With the nearest neighbours (Å) after each atom.
Sites, in units of the cell vectors:
Ba: 0.0000 0.0000 0.0000  8 Li 3.52-3.82, 6 Sn 3.80
Li: 0.1333 0.1333 0.1333  3 Cd 2.93, 4 Sn 3.02-3.12, 3 Li 3.21
Li: 0.4095 0.4095 0.4095  1 Cd 2.59, 3 Sn 2.80
Li: 0.5905 0.5905 0.5905  1 Cd 2.59, 3 Sn 2.80
Li: 0.8667 0.8667 0.8667  3 Cd 2.93, 4 Sn 3.02-3.12, 3 Li 3.21
Cd: 0.5000 0.5000 0.5000  2 Li 2.59
Sn: 0.2423 0.2423 0.2423  7 Li 2.80-3.12
Sn: 0.7577 0.7577 0.7577  7 Li 2.80-3.12

- Raw total energy: -2.67 eV per atom
- Mass density: 4.501 g/cm³
- Formation energy: -280 kJ/mol of formula units
- SG: R-3m, No. 166

=====

No. 3
Material: Ba2Li3Cd12Sn
Method: DFT, GGA-PBE
State: optimized geometry

Cell: 11.9887 11.9887 11.9887 Å, 34.52 34.52 34.52°
With the nearest neighbours (Å) after each atom.
Sites, in units of the cell vectors:
Ba: 0.1413 0.1413 0.1413  12 Cd 3.71-3.84
Ba: 0.8587 0.8587 0.8587  12 Cd 3.71-3.84
Li: 0.0000 0.5000 0.5000  4 Cd 2.70
Li: 0.5000 0.0000 0.5000  4 Cd 2.70
Li: 0.5000 0.5000 0.0000  4 Cd 2.70
Cd: 0.0921 0.0921 0.6856  2 Li 2.70, 4 Cd 2.89-2.92
Cd: 0.0921 0.6856 0.0921  2 Li 2.70, 4 Cd 2.89-2.92
Cd: 0.0936 0.6005 0.6005  2 Cd 2.92, 1 Sn 3.11
Cd: 0.3144 0.9079 0.9079  2 Li 2.70, 4 Cd 2.89-2.92
Cd: 0.3995 0.3995 0.9064  2 Cd 2.92, 1 Sn 3.11
Cd: 0.3995 0.9064 0.3995  2 Cd 2.92, 1 Sn 3.11
Cd: 0.6005 0.0936 0.6005  2 Cd 2.92, 1 Sn 3.11
Cd: 0.6005 0.6005 0.0936  2 Cd 2.92, 1 Sn 3.11
Cd: 0.6856 0.0921 0.0921  2 Li 2.70, 4 Cd 2.89-2.92
Cd: 0.9064 0.3995 0.3995  2 Cd 2.92, 1 Sn 3.11
Cd: 0.9079 0.3144 0.9079  2 Li 2.70, 4 Cd 2.89-2.92
Cd: 0.9079 0.9079 0.3144  2 Li 2.70, 4 Cd 2.89-2.92
Sn: 0.5000 0.5000 0.5000  6 Cd 3.11

- Raw total energy: -1.47 eV per atom
- Mass density: 5.930 g/cm³
- Formation energy: -182 kJ/mol of formula units
- SG: R-3m, No. 166

=====

No. 4
Material: BaLiCd4Sn2
Method: DFT, GGA-PBE
State: optimized geometry

Cell: 9.8460 9.8460 9.8460 Å, 30.19 30.19 30.19°
With the nearest neighbours (Å) after each atom.
Sites, in units of the cell vectors:
Ba: 0.0000 0.0000 0.0000  8 Cd 3.49-3.79, 6 Sn 3.90
Li: 0.5000 0.5000 0.5000  8 Cd 2.85-3.10
Cd: 0.1345 0.1345 0.1345  4 Sn 3.07-3.22, 3 Li 3.10
Cd: 0.3990 0.3990 0.3990  1 Li 2.85, 3 Sn 3.04
Cd: 0.6010 0.6010 0.6010  1 Li 2.85, 3 Sn 3.04
Cd: 0.8655 0.8655 0.8655  4 Sn 3.07-3.22, 3 Li 3.10
Sn: 0.2434 0.2434 0.2434  7 Cd 3.04-3.22
Sn: 0.7566 0.7566 0.7566  7 Cd 3.04-3.22

- Raw total energy: -2.16 eV per atom
- Mass density: 6.453 g/cm³
- Formation energy: -169 kJ/mol of formula units
- SG: R-3m, No. 166

=====

No. 5
Material: Ba2LiCd4Sn3
Method: DFT, GGA-PBE
State: optimized geometry

Cell: 4.8384 4.8384 12.4715 Å, 90.00 90.00 90.00°
With the nearest neighbours (Å) after each atom.
Sites, in units of the cell vectors:
Ba: 0.0000 0.5000 0.2450  6 Sn 3.66-4.00, 8 Cd 3.77-3.90, 2 Li 4.00
Ba: 0.5000 0.0000 0.7550  6 Sn 3.66-4.00, 8 Cd 3.77-3.90, 2 Li 4.00
Li: 0.0000 0.0000 0.5000  4 Cd 2.90
Cd: 0.0000 0.0000 0.0000  4 Sn 2.98
Cd: 0.0000 0.5000 0.6286  3 Sn 2.89-2.90, 2 Li 2.90
Cd: 0.5000 0.0000 0.3714  3 Sn 2.89-2.90, 2 Li 2.90
Cd: 0.5000 0.5000 0.0000  4 Sn 2.98
Sn: 0.0000 0.5000 0.8600  5 Cd 2.89-2.98
Sn: 0.5000 0.0000 0.1400  5 Cd 2.89-2.98
Sn: 0.5000 0.5000 0.5000  4 Cd 2.90

- Raw total energy: -2.55 eV per atom
- Mass density: 6.184 g/cm³
- Formation energy: -393 kJ/mol of formula units
- SG: P-4m2, No. 115

=====

No. 6
Material: BaLiCdSn
Method: DFT, GGA-PBE
State: optimized geometry

Cell: 7.6569 7.6569 7.6569 Å, 90.00 90.00 90.00°
With the nearest neighbours (Å) after each atom.
Sites, in units of the cell vectors:
Ba: 0.0000 0.0000 0.0000  4 Cd 3.32, 4 Li 3.32
Ba: 0.0000 0.5000 0.5000  4 Cd 3.32, 4 Li 3.32
Ba: 0.5000 0.0000 0.5000  4 Cd 3.32, 4 Li 3.32
Ba: 0.5000 0.5000 0.0000  4 Cd 3.32, 4 Li 3.32
Li: 0.2500 0.2500 0.2500  4 Ba 3.32, 4 Sn 3.32
Li: 0.2500 0.7500 0.7500  4 Sn 3.32, 4 Ba 3.32
Li: 0.7500 0.2500 0.7500  4 Sn 3.32, 4 Ba 3.32
Li: 0.7500 0.7500 0.2500  4 Sn 3.32, 4 Ba 3.32
Cd: 0.2500 0.2500 0.7500  4 Ba 3.32, 4 Sn 3.32
Cd: 0.2500 0.7500 0.2500  4 Ba 3.32, 4 Sn 3.32
Cd: 0.7500 0.2500 0.2500  4 Ba 3.32, 4 Sn 3.32
Cd: 0.7500 0.7500 0.7500  4 Ba 3.32, 4 Sn 3.32
Sn: 0.0000 0.0000 0.5000  4 Cd 3.32, 4 Li 3.32
Sn: 0.0000 0.5000 0.0000  4 Cd 3.32, 4 Li 3.32
Sn: 0.5000 0.0000 0.0000  4 Cd 3.32, 4 Li 3.32
Sn: 0.5000 0.5000 0.5000  4 Cd 3.32, 4 Li 3.32

- Raw total energy: -2.52 eV per atom
- Mass density: 5.554 g/cm³
- Formation energy: -128 kJ/mol of formula units
- SG: F-43m, No. 216

=====

No. 7
Material: BaLiCdSn2
Method: DFT, GGA-PBE
State: optimized geometry

Cell: 4.8615 4.8615 12.2313 Å, 90.00 90.00 90.00°
With the nearest neighbours (Å) after each atom.
Sites, in units of the cell vectors:
Ba: 0.0000 0.0000 0.0000  8 Sn 3.73, 4 Cd 3.91, 4 Li 3.91
Ba: 0.5000 0.5000 0.5000  8 Sn 3.73, 4 Cd 3.91, 4 Li 3.91
Li: 0.0000 0.5000 0.2500  4 Sn 2.92
Li: 0.5000 0.0000 0.7500  4 Sn 2.92
Cd: 0.0000 0.5000 0.7500  4 Sn 2.92
Cd: 0.5000 0.0000 0.2500  4 Sn 2.92
Sn: 0.0000 0.0000 0.3817  1 Sn 2.89, 2 Cd 2.92, 2 Li 2.92
Sn: 0.0000 0.0000 0.6183  1 Sn 2.89, 2 Cd 2.92, 2 Li 2.92
Sn: 0.5000 0.5000 0.1183  1 Sn 2.89, 2 Cd 2.92, 2 Li 2.92
Sn: 0.5000 0.5000 0.8817  1 Sn 2.89, 2 Cd 2.92, 2 Li 2.92

- Raw total energy: -3.05 eV per atom
- Mass density: 5.676 g/cm³
- Formation energy: -238 kJ/mol of formula units
- SG: I-4m2, No. 119

=====

No. 8
Material: BaLi4Cd2Sn
Method: DFT, GGA-PBE
State: optimized geometry

Cell: 10.4816 10.4816 10.4816 Å, 26.24 26.24 26.24°
With the nearest neighbours (Å) after each atom.
Sites, in units of the cell vectors:
Ba: 0.0000 0.0000 0.0000  6 Li 3.64, 6 Cd 3.97
Li: 0.1377 0.1377 0.1377  3 Sn 2.88, 4 Cd 3.04-3.07
Li: 0.4122 0.4122 0.4122  1 Sn 2.67, 3 Cd 2.79
Li: 0.5878 0.5878 0.5878  1 Sn 2.67, 3 Cd 2.79
Li: 0.8623 0.8623 0.8623  3 Sn 2.88, 4 Cd 3.04-3.07
Cd: 0.2389 0.2389 0.2389  7 Li 2.79-3.07
Cd: 0.7611 0.7611 0.7611  7 Li 2.79-3.07
Sn: 0.5000 0.5000 0.5000  8 Li 2.67-2.88

- Raw total energy: -2.16 eV per atom
- Mass density: 4.258 g/cm³
- Formation energy: -183 kJ/mol of formula units
- SG: R-3m, No. 166

=====

No. 9
Material: Ba2LiCd6Sn
Method: DFT, GGA-PBE
State: optimized geometry

Cell: 7.2696 7.2823 7.6041 Å, 61.89 61.52 60.35°
With the nearest neighbours (Å) after each atom.
Sites, in units of the cell vectors:
Ba: 0.1945 0.1935 0.4186  9 Cd 3.64-3.97, 1 Li 3.70
Ba: 0.8055 0.8065 0.5814  9 Cd 3.64-3.97, 1 Li 3.70
Li: 0.0000 0.0000 0.0000  6 Cd 2.69-2.70
Cd: 0.1559 0.6369 0.8866  1 Li 2.70, 2 Cd 2.96
Cd: 0.3196 0.1565 0.8876  1 Li 2.69, 2 Cd 2.96-2.97
Cd: 0.3623 0.6823 0.1122  1 Li 2.70, 2 Cd 2.96-2.97
Cd: 0.6377 0.3177 0.8878  1 Li 2.70, 2 Cd 2.96-2.97
Cd: 0.6804 0.8435 0.1124  1 Li 2.69, 2 Cd 2.96-2.97
Cd: 0.8441 0.3631 0.1134  1 Li 2.70, 2 Cd 2.96
Sn: 0.5000 0.5000 0.5000  6 Cd 3.03-3.05

- Raw total energy: -1.77 eV per atom
- Mass density: 6.100 g/cm³
- Formation energy: -231 kJ/mol of formula units
- SG: P-1, No. 2

=====

No. 10
Material: Ba2SrLiCd
Method: DFT, GGA-PBE
State: optimized geometry

Cell: 6.5890 6.5890 5.1953 Å, 90.00 90.00 90.00°
With the nearest neighbours (Å) after each atom.
Sites, in units of the cell vectors:
Ba: 0.0000 0.5000 0.0000  2 Li 3.29
Ba: 0.5000 0.0000 0.0000  2 Li 3.29
Sr: 0.0000 0.0000 0.5000  8 Ba 4.20, 4 Cd 4.66
Li: 0.5000 0.5000 0.0000  2 Cd 2.60
Cd: 0.5000 0.5000 0.5000  2 Li 2.60

- Raw total energy: -1.60 eV per atom
- Mass density: 3.546 g/cm³
- Offset from the most stable computed form: 55 meV per atom
- Formation energy: 36 kJ/mol of formula units
- SG: P4/mmm, No. 123